Entry 1:
## Sr4MnW (PBE)

Data for Sr4MnW after structural relaxation.

Unit cell a=6.830 b=6.830 c=6.830 alpha=60.00 beta=60.00 gamma=60.00
Atoms (fractional coordinates):
Sr 0.125 0.125 0.125
Sr 0.125 0.125 0.626
Sr 0.125 0.626 0.125
Sr 0.626 0.125 0.125
Mn 0.500 0.500 0.500
W 0.750 0.750 0.750

Summary:
ΔH_f (0 K): 1.527 eV per atom
final energy: -3.28 eV per atom
symmetry: No. 216

---

Entry 2:
## Sr2YMn (PBE)

Data for Sr2YMn after structural relaxation.

Unit cell a=3.881 b=3.881 c=9.408 alpha=90.00 beta=90.00 gamma=90.00
Atoms (fractional coordinates):
Sr 0.000 0.000 0.206
Sr 0.000 0.000 0.794
Y 0.500 0.500 0.500
Mn 0.500 0.500 0.000

Summary:
ΔH_f (0 K): 0.448 eV per atom
final energy: -4.30 eV per atom
ΔE to the lowest computed polymorph: 0.196 eV per atom
symmetry: No. 123

---

Entry 3:
## SrYMn2 (PBE)

Data for SrYMn2 after structural relaxation.

Unit cell a=5.274 b=5.274 c=3.650 alpha=90.00 beta=90.00 gamma=90.00
Atoms (fractional coordinates):
Sr 0.000 0.000 0.000
Y 0.500 0.500 0.000
Mn 0.000 0.500 0.500
Mn 0.500 0.000 0.500

Summary:
ΔH_f (0 K): 0.486 eV per atom
final energy: -6.14 eV per atom
ΔE to the lowest computed polymorph: 0.080 eV per atom
symmetry: No. 123

---

Entry 4:
## SrYMn2 (PBE)

Data for SrYMn2 after structural relaxation.

Unit cell a=4.433 b=4.035 c=11.987 alpha=90.00 beta=90.00 gamma=90.00
Atoms (fractional coordinates):
Sr 0.000 0.000 0.000
Sr 0.000 0.500 0.500
Y 0.500 0.000 0.714
Y 0.500 0.500 0.214
Mn 0.000 0.000 0.280
Mn 0.000 0.500 0.780
Mn 0.500 0.000 0.397
Mn 0.500 0.500 0.897

Summary:
ΔH_f (0 K): 0.432 eV per atom
final energy: -6.19 eV per atom
ΔE to the lowest computed polymorph: 0.026 eV per atom
symmetry: No. 38

---

Entry 5:
## SrY2Mn (PBE)

Data for SrY2Mn after structural relaxation.

Unit cell a=12.297 b=3.685 c=6.579 alpha=90.00 beta=121.29 gamma=90.00
Atoms (fractional coordinates):
Sr 0.000 0.000 0.000
Sr 0.500 0.500 0.000
Y 0.196 0.000 0.753
Y 0.404 0.000 0.404
Y 0.696 0.500 0.753
Y 0.904 0.500 0.404
Mn 0.220 0.500 0.433
Mn 0.720 0.000 0.433

Summary:
ΔH_f (0 K): 0.367 eV per atom
final energy: -5.58 eV per atom
ΔE to the lowest computed polymorph: 0.179 eV per atom
symmetry: No. 8

---

Entry 6:
## SrY2Mn (PBE)

Data for SrY2Mn after structural relaxation.

Unit cell a=3.798 b=5.571 c=11.627 alpha=90.00 beta=90.00 gamma=90.00
Atoms (fractional coordinates):
Sr 0.000 0.000 0.000
Sr 0.500 0.500 0.500
Y 0.000 0.000 0.588
Y 0.000 0.500 0.793
Y 0.500 0.000 0.293
Y 0.500 0.500 0.088
Mn 0.000 0.500 0.278
Mn 0.500 0.000 0.778

Summary:
ΔH_f (0 K): 0.354 eV per atom
final energy: -5.59 eV per atom
ΔE to the lowest computed polymorph: 0.166 eV per atom
symmetry: No. 44

---

Entry 7:
## SrY2Mn (PBE)

Data for SrY2Mn after structural relaxation.

Unit cell a=4.983 b=4.983 c=9.857 alpha=90.00 beta=90.00 gamma=90.00
Atoms (fractional coordinates):
Sr 0.000 0.000 0.000
Sr 0.500 0.500 0.500
Y 0.000 0.500 0.250
Y 0.000 0.500 0.750
Y 0.500 0.000 0.250
Y 0.500 0.000 0.750
Mn 0.000 0.000 0.500
Mn 0.500 0.500 0.000

Summary:
ΔH_f (0 K): 0.471 eV per atom
final energy: -5.47 eV per atom
ΔE to the lowest computed polymorph: 0.283 eV per atom
symmetry: No. 139

---

Entry 8:
## SrYMn2 (PBE)

Data for SrYMn2 after structural relaxation.

Unit cell a=5.172 b=5.172 c=19.180 alpha=90.00 beta=90.00 gamma=90.00
Atoms (fractional coordinates):
Sr 0.000 0.000 0.000
Sr 0.000 0.500 0.250
Sr 0.500 0.000 0.750
Sr 0.500 0.500 0.500
Y 0.000 0.000 0.500
Y 0.000 0.500 0.750
Y 0.500 0.000 0.250
Y 0.500 0.500 0.000
Mn 0.003 0.750 0.625
Mn 0.250 0.003 0.375
Mn 0.250 0.497 0.875
Mn 0.497 0.750 0.125
Mn 0.503 0.250 0.125
Mn 0.750 0.503 0.875
Mn 0.750 0.997 0.375
Mn 0.997 0.250 0.625

Summary:
ΔH_f (0 K): 0.882 eV per atom
final energy: -5.74 eV per atom
ΔE to the lowest computed polymorph: 0.476 eV per atom
symmetry: No. 122

---

Entry 9:
## Sr2YMn (PBE)

Data for Sr2YMn after structural relaxation.

Unit cell a=4.456 b=5.563 c=5.654 alpha=90.00 beta=90.00 gamma=90.00
Atoms (fractional coordinates):
Sr 0.000 0.000 0.000
Sr 0.500 0.500 0.000
Y 0.000 0.500 0.500
Mn 0.500 0.000 0.500

Summary:
ΔH_f (0 K): 0.523 eV per atom
final energy: -4.23 eV per atom
ΔE to the lowest computed polymorph: 0.271 eV per atom
symmetry: No. 47

---

Entry 10:
## Sr2YMn (PBE)

Data for Sr2YMn after structural relaxation.

Unit cell a=11.145 b=11.145 c=5.425 alpha=90.00 beta=90.00 gamma=90.00
Atoms (fractional coordinates):
Sr 0.118 0.750 0.125
Sr 0.250 0.118 0.875
Sr 0.250 0.382 0.375
Sr 0.382 0.750 0.625
Sr 0.618 0.250 0.625
Sr 0.750 0.618 0.375
Sr 0.750 0.882 0.875
Sr 0.882 0.250 0.125
Y 0.000 0.000 0.500
Y 0.000 0.500 0.750
Y 0.500 0.000 0.250
Y 0.500 0.500 0.000
Mn 0.000 0.000 0.000
Mn 0.000 0.500 0.250
Mn 0.500 0.000 0.750
Mn 0.500 0.500 0.500

Summary:
ΔH_f (0 K): 0.637 eV per atom
final energy: -4.11 eV per atom
ΔE to the lowest computed polymorph: 0.385 eV per atom
symmetry: No. 122

---

Entry 11:
## Sr2YMn (PBE)

Data for Sr2YMn after structural relaxation.

Unit cell a=3.833 b=3.833 c=34.253 alpha=90.00 beta=90.00 gamma=120.00
Atoms (fractional coordinates):
Sr 0.000 0.000 0.238
Sr 0.000 0.000 0.762
Sr 0.333 0.667 0.428
Sr 0.333 0.667 0.905
Sr 0.667 0.333 0.095
Sr 0.667 0.333 0.572
Y 0.000 0.000 0.000
Y 0.333 0.667 0.667
Y 0.667 0.333 0.333
Mn 0.000 0.000 0.500
Mn 0.333 0.667 0.167
Mn 0.667 0.333 0.833

Summary:
ΔH_f (0 K): 0.545 eV per atom
final energy: -4.20 eV per atom
ΔE to the lowest computed polymorph: 0.293 eV per atom
symmetry: No. 166

---

Entry 12:
## SrY2Mn (PBE)

Data for SrY2Mn after structural relaxation.

Unit cell a=4.864 b=4.892 c=5.154 alpha=90.00 beta=90.00 gamma=90.00
Atoms (fractional coordinates):
Sr 0.000 0.000 0.000
Y 0.000 0.500 0.500
Y 0.500 0.000 0.500
Mn 0.500 0.500 0.000

Summary:
ΔH_f (0 K): 0.440 eV per atom
final energy: -5.50 eV per atom
ΔE to the lowest computed polymorph: 0.253 eV per atom
symmetry: No. 47

---

Entry 13:
## Sr2YMn (PBE)

Data for Sr2YMn after structural relaxation.

Unit cell a=9.909 b=3.898 c=8.709 alpha=90.00 beta=107.97 gamma=90.00
Atoms (fractional coordinates):
Sr 0.000 0.000 0.000
Sr 0.166 0.000 0.613
Sr 0.500 0.500 0.000
Sr 0.666 0.500 0.613
Y 0.367 0.000 0.307
Y 0.867 0.500 0.307
Mn 0.148 0.500 0.307
Mn 0.648 0.000 0.307

Summary:
ΔH_f (0 K): 0.410 eV per atom
final energy: -4.34 eV per atom
ΔE to the lowest computed polymorph: 0.158 eV per atom
symmetry: No. 8

---

Entry 14:
## Sr2YMn (PBE)

Data for Sr2YMn after structural relaxation.

Unit cell a=7.915 b=7.915 c=7.915 alpha=90.00 beta=90.00 gamma=90.00
Atoms (fractional coordinates):
Sr 0.250 0.250 0.250
Sr 0.250 0.250 0.750
Sr 0.250 0.750 0.250
Sr 0.250 0.750 0.750
Sr 0.750 0.250 0.250
Sr 0.750 0.250 0.750
Sr 0.750 0.750 0.250
Sr 0.750 0.750 0.750
Y 0.000 0.000 0.000
Y 0.000 0.500 0.500
Y 0.500 0.000 0.500
Y 0.500 0.500 0.000
Mn 0.000 0.000 0.500
Mn 0.000 0.500 0.000
Mn 0.500 0.000 0.000
Mn 0.500 0.500 0.500

Summary:
ΔH_f (0 K): 1.070 eV per atom
final energy: -3.68 eV per atom
ΔE to the lowest computed polymorph: 0.818 eV per atom
symmetry: No. 225

---

Entry 15:
## SrY2Mn (PBE)

Data for SrY2Mn after structural relaxation.

Unit cell a=4.934 b=4.934 c=10.122 alpha=90.00 beta=90.00 gamma=90.00
Atoms (fractional coordinates):
Sr 0.000 0.000 0.000
Sr 0.500 0.500 0.500
Y 0.000 0.000 0.500
Y 0.000 0.500 0.750
Y 0.500 0.000 0.250
Y 0.500 0.500 0.000
Mn 0.000 0.500 0.250
Mn 0.500 0.000 0.750

Summary:
ΔH_f (0 K): 0.466 eV per atom
final energy: -5.48 eV per atom
ΔE to the lowest computed polymorph: 0.278 eV per atom
symmetry: No. 119

---

Entry 16:
## SrY2Mn (PBE)

Data for SrY2Mn after structural relaxation.

Unit cell a=7.668 b=7.668 c=10.859 alpha=90.00 beta=90.00 gamma=90.00
Atoms (fractional coordinates):
Sr 0.000 0.250 0.375
Sr 0.000 0.750 0.625
Sr 0.500 0.250 0.125
Sr 0.500 0.750 0.875
Y 0.000 0.000 0.000
Y 0.000 0.500 0.000
Y 0.250 0.250 0.750
Y 0.250 0.750 0.250
Y 0.500 0.000 0.500
Y 0.500 0.500 0.500
Y 0.750 0.250 0.750
Y 0.750 0.750 0.250
Mn 0.000 0.250 0.875
Mn 0.000 0.750 0.125
Mn 0.500 0.250 0.625
Mn 0.500 0.750 0.375

Summary:
ΔH_f (0 K): 0.684 eV per atom
final energy: -5.26 eV per atom
ΔE to the lowest computed polymorph: 0.496 eV per atom
symmetry: No. 141

---

Entry 17:
## Sr2YMn (PBE)

Data for Sr2YMn after structural relaxation.

Unit cell a=7.976 b=7.991 c=4.448 alpha=90.00 beta=90.00 gamma=90.00
Atoms (fractional coordinates):
Sr 0.250 0.250 0.000
Sr 0.250 0.750 0.000
Sr 0.750 0.250 0.000
Sr 0.750 0.750 0.000
Y 0.000 0.000 0.500
Y 0.500 0.500 0.500
Mn 0.000 0.500 0.500
Mn 0.500 0.000 0.500

Summary:
ΔH_f (0 K): 0.532 eV per atom
final energy: -4.22 eV per atom
ΔE to the lowest computed polymorph: 0.280 eV per atom
symmetry: No. 65

---

Entry 18:
## SrYMn2 (PBE)

Data for SrYMn2 after structural relaxation.

Unit cell a=7.340 b=7.340 c=7.340 alpha=90.00 beta=90.00 gamma=90.00
Atoms (fractional coordinates):
Sr 0.000 0.000 0.000
Sr 0.000 0.500 0.500
Sr 0.500 0.000 0.500
Sr 0.500 0.500 0.000
Y 0.250 0.250 0.250
Y 0.250 0.750 0.750
Y 0.750 0.250 0.750
Y 0.750 0.750 0.250
Mn 0.000 0.000 0.500
Mn 0.000 0.500 0.000
Mn 0.250 0.250 0.750
Mn 0.250 0.750 0.250
Mn 0.500 0.000 0.000
Mn 0.500 0.500 0.500
Mn 0.750 0.250 0.250
Mn 0.750 0.750 0.750

Summary:
ΔH_f (0 K): 0.653 eV per atom
final energy: -5.97 eV per atom
ΔE to the lowest computed polymorph: 0.247 eV per atom
symmetry: No. 216

---

Entry 19:
## Sr2YMn (PBE)

Data for Sr2YMn after structural relaxation.

Unit cell a=5.789 b=5.789 c=8.174 alpha=90.00 beta=90.00 gamma=90.00
Atoms (fractional coordinates):
Sr 0.000 0.000 0.000
Sr 0.000 0.500 0.250
Sr 0.500 0.000 0.750
Sr 0.500 0.500 0.500
Y 0.000 0.000 0.500
Y 0.500 0.500 0.000
Mn 0.000 0.500 0.750
Mn 0.500 0.000 0.250

Summary:
ΔH_f (0 K): 0.508 eV per atom
final energy: -4.24 eV per atom
ΔE to the lowest computed polymorph: 0.256 eV per atom
symmetry: No. 119

---

Entry 20:
## SrYMn2 (PBE)

Data for SrYMn2 after structural relaxation.

Unit cell a=3.789 b=3.789 c=7.425 alpha=90.00 beta=90.00 gamma=90.00
Atoms (fractional coordinates):
Sr 0.000 0.000 0.000
Y 0.000 0.000 0.500
Mn 0.500 0.500 0.312
Mn 0.500 0.500 0.688

Summary:
ΔH_f (0 K): 0.406 eV per atom
final energy: -6.22 eV per atom
ΔE to the lowest computed polymorph: 0.000 eV per atom
symmetry: No. 123

---

| no. | total magnetization (μB per atom) | V (Å³ per atom) | Fermi-level density of states (states/eV/cell) |
| --- | --- | --- | --- |
| 1 | 1.4616 | 37.5 | 5.36 |
| 2 | 1.0494 | 35.4 | 4.79 |
| 3 | 1.7833 | 25.4 | 4.55 |
| 4 | 1.5593 | 26.8 | 10.49 |
| 5 | 0.6400 | 31.8 | 8.27 |
| 6 | 0.7291 | 30.7 | 12.55 |
| 7 | 0.6301 | 30.6 | 12.46 |
| 8 | 1.5426 | 32.1 | 21.51 |
| 9 | 1.0903 | 35.0 | 5.73 |
| 10 | 0.5490 | 42.1 | 13.93 |
| 11 | 1.0806 | 36.3 | 15.92 |
| 12 | 0.7049 | 30.7 | 5.64 |
| 13 | 0.6859 | 40.0 | 8.01 |
| 14 | 0.0024 | 31.0 | 73.58 |
| 15 | 0.6884 | 30.8 | 13.38 |
| 16 | 0.0000 | 39.9 | 13.19 |
| 17 | 1.0535 | 35.4 | 10.15 |
| 18 | 2.0621 | 24.7 | 18.15 |
| 19 | 0.9848 | 34.2 | 8.83 |
| 20 | 1.7427 | 26.6 | 5.54 |